Record 1
4
Lattice="3.4630 0.0000 0.0000 0.0000 3.4630 0.0000 0.0000 0.0000 7.6732" Properties=species:S:1:pos:R:3 comment="ErPaAu2 GGA-PBE relaxed" e_tot_ev_per_cell=-22.7 m_tot_mub_per_cell=1.66 pbc="T T T"
Er 0.0000 0.0000 0.0000
Pa 0.0000 0.0000 3.8366
Au 1.7315 1.7315 1.8053
Au 1.7315 1.7315 5.8679

Record 2
4
Lattice="1.5712 0.9072 11.8074 -1.5712 0.9072 11.8074 0.0000 -1.8143 11.8074" Properties=species:S:1:pos:R:3 comment="ErPa2Au GGA-PBE relaxed" e_tot_ev_per_cell=-25.5 m_tot_mub_per_cell=0.02 pbc="T T T"
Er 0.0000 0.0000 0.0000
Pa 0.0000 0.0000 14.7107
Pa 0.0000 0.0000 20.7117
Au 0.0000 0.0000 17.7112

Record 3
3
Lattice="5.0370 0.0000 0.0000 -2.5185 4.3622 0.0000 0.0000 0.0000 3.2891" Properties=species:S:1:pos:R:3 comment="ErPaAu GGA-PBE relaxed" e_tot_ev_per_cell=-17.4 m_tot_mub_per_cell=0.17 pbc="T T T"
Er 0.0000 0.0000 0.0000
Pa 0.0000 2.9081 1.9037
Au 2.5185 1.4541 1.0924